Arrangement i

Here is an optimized crystal structure of AcCdSb from OQMD. Energies are from PBE-GGA.

Unit cell a=5.224 b=5.224 c=5.224 alpha=60.00 beta=60.00 gamma=60.00
Element x y z (fractional)
Cd1 0.000 0.000 0.000
Sb1 0.750 0.750 0.750
Ac1 0.250 0.250 0.250

Results
Theoretical density = 7.596 g cm⁻³
Crystal system = cubic
Volume = 100.8 Å³/f.u.

=====

Arrangement ii

Here is an optimized crystal structure of AcCdSb from OQMD. Energies are from PBE-GGA.

Unit cell a=5.457 b=5.457 c=5.457 alpha=60.00 beta=60.00 gamma=60.00
Element x y z (fractional)
Sb1 0.750 0.750 0.750
Cd1 0.250 0.250 0.250
Ac1 0.000 0.000 0.000

Results
Theoretical density = 6.664 g cm⁻³
Crystal system = cubic
Volume = 114.9 Å³/f.u.

=====

Least stable: arrangement i

=====

Arrangement i

Here is an optimized crystal structure of AcCdSn from OQMD. Energies are from PBE-GGA.

Unit cell a=4.836 b=4.836 c=4.646 alpha=90.00 beta=90.00 gamma=120.00
Element x y z (fractional)
Sn1 0.333 0.667 0.859
Ac1 0.000 0.000 0.336
Cd1 0.667 0.333 0.805

Results
Theoretical density = 8.086 g cm⁻³
Crystal system = trigonal
Volume = 94.1 Å³/f.u.

=====

Arrangement ii

Here is an optimized crystal structure of AcCdSn from OQMD. Energies are from PBE-GGA.

Unit cell a=5.431 b=5.431 c=5.431 alpha=60.00 beta=60.00 gamma=60.00
Element x y z (fractional)
Cd1 0.250 0.250 0.250
Sn1 0.750 0.750 0.750
Ac1 0.000 0.000 0.000

Results
Theoretical density = 6.714 g cm⁻³
Crystal system = cubic
Volume = 113.3 Å³/f.u.

=====

Arrangement iii

Here is an optimized crystal structure of AcCdSn from OQMD. Energies are from PBE-GGA.

Unit cell a=5.204 b=5.204 c=5.204 alpha=60.00 beta=60.00 gamma=60.00
Element x y z (fractional)
Ac1 0.250 0.250 0.250
Cd1 0.000 0.000 0.000
Sn1 0.750 0.750 0.750

Results
Theoretical density = 7.635 g cm⁻³
Crystal system = cubic
Volume = 99.6 Å³/f.u.

=====

Least stable: arrangement ii

=====

Arrangement i

Here is an optimized crystal structure of Ac3Co from OQMD. Energies are from PBE-GGA.

Unit cell a=5.659 b=5.659 c=5.659 alpha=60.00 beta=60.00 gamma=60.00
Element x y z (fractional)
Ac1 0.250 0.250 0.250
Ac2 0.500 0.500 0.500
Ac3 0.000 0.000 0.000
Co1 0.750 0.750 0.750

Results
Theoretical density = 9.587 g cm⁻³
Crystal system = cubic
Volume = 128.2 Å³/f.u.

=====

Arrangement ii

Here is an optimized crystal structure of Ac3Co from OQMD. Energies are from PBE-GGA.

Unit cell a=9.527 b=9.527 c=3.973 alpha=90.00 beta=90.00 gamma=120.00
Element x y z (fractional)
Co1 0.667 0.333 0.250
Co2 0.333 0.667 0.750
Ac1 0.592 0.796 0.250
Ac2 0.796 0.204 0.750
Ac3 0.408 0.204 0.750
Ac4 0.204 0.408 0.250
Ac5 0.204 0.796 0.250
Ac6 0.796 0.592 0.750

Results
Theoretical density = 7.868 g cm⁻³
Crystal system = hexagonal
Volume = 156.2 Å³/f.u.

=====

Least stable: arrangement i

=====

Arrangement i

Here is an optimized crystal structure of CsAcCo from OQMD. Energies are from PBE-GGA.

Unit cell a=5.337 b=5.337 c=5.337 alpha=60.00 beta=60.00 gamma=60.00
Element x y z (fractional)
Cs1 0.750 0.750 0.750
Ac1 0.000 0.000 0.000
Co1 0.250 0.250 0.250

Results
Theoretical density = 6.472 g cm⁻³
Crystal system = cubic
Volume = 107.5 Å³/f.u.

=====

Arrangement ii

Here is an optimized crystal structure of CsAcCo from OQMD. Energies are from PBE-GGA.

Unit cell a=5.265 b=5.265 c=5.265 alpha=60.00 beta=60.00 gamma=60.00
Element x y z (fractional)
Co1 0.250 0.250 0.250
Ac1 0.750 0.750 0.750
Cs1 0.000 0.000 0.000

Results
Theoretical density = 6.741 g cm⁻³
Crystal system = cubic
Volume = 103.2 Å³/f.u.

=====

Least stable: arrangement ii